Here is an optimized crystal structure of Ce2DyHg from the Alexandria database. Energies are from PBE.

Values from the calculation:
VASP energy	-16.63	eV per cell
V	114.20	Å³/f.u.
crystal system	cubic
DFT formation energy	0.1	eV/f.u.

The structure in CIF format:
```
data_Ce2DyHg
_chemical_formula_sum 'Ce2 Dy1 Hg1'
_space_group_name_H-M_alt 'P 1'
_space_group_IT_number 1
_cell_length_a 5.446
_cell_length_b 5.446
_cell_length_c 5.446
_cell_angle_alpha 60.00
_cell_angle_beta 60.00
_cell_angle_gamma 60.00
loop_
_space_group_symop_operation_xyz
'x,y,z'
loop_
_atom_site_label
_atom_site_type_symbol
_atom_site_fract_x
_atom_site_fract_y
_atom_site_fract_z
Ce1 Ce 0.750 0.750 0.750
Hg1 Hg 0.500 0.500 0.500
Ce2 Ce 0.250 0.250 0.250
Dy1 Dy 0.000 0.000 0.000
```

***

Here is an optimized crystal structure of Ho2ThC from the Alexandria database. Energies are from PBE.

Values from the calculation:
VASP energy	-26.08	eV per cell
V	103.83	Å³/f.u.
crystal system	trigonal
DFT formation energy	-0.3	eV/f.u.

The structure in CIF format:
```
data_Ho2ThC
_chemical_formula_sum 'Ho2 Th1 C1'
_space_group_name_H-M_alt 'P 1'
_space_group_IT_number 1
_cell_length_a 3.489
_cell_length_b 3.489
_cell_length_c 10.051
_cell_angle_alpha 80.00
_cell_angle_beta 80.00
_cell_angle_gamma 60.00
loop_
_space_group_symop_operation_xyz
'x,y,z'
loop_
_atom_site_label
_atom_site_type_symbol
_atom_site_fract_x
_atom_site_fract_y
_atom_site_fract_z
Ho1 Ho 0.879 0.879 0.363
C1 C 0.500 0.500 0.500
Ho2 Ho 0.121 0.121 0.637
Th1 Th 0.000 0.000 0.000
```

***

Here is an optimized crystal structure of Hg2I2O from the Alexandria database. Energies are from PBE.

Values from the calculation:
formation energy without anion corrections	0.15	eV/atom
VASP energy	-15.82	eV per cell
V	165.85	Å³/f.u.
crystal system	tetragonal

The structure in CIF format:
```
data_Hg2I2O
_chemical_formula_sum 'Hg4 I4 O2'
_space_group_name_H-M_alt 'P 1'
_space_group_IT_number 1
_cell_length_a 6.653
_cell_length_b 6.653
_cell_length_c 7.494
_cell_angle_alpha 90.00
_cell_angle_beta 90.00
_cell_angle_gamma 90.00
loop_
_space_group_symop_operation_xyz
'x,y,z'
loop_
_atom_site_label
_atom_site_type_symbol
_atom_site_fract_x
_atom_site_fract_y
_atom_site_fract_z
I1 I 0.750 0.250 0.000
Hg1 Hg 0.251 0.249 0.500
Hg2 Hg 0.749 0.751 0.500
I2 I 0.750 0.750 0.000
Hg3 Hg 0.751 0.251 0.500
Hg4 Hg 0.249 0.749 0.500
I3 I 0.250 0.750 0.000
I4 I 0.250 0.250 0.000
O1 O 0.500 0.500 0.000
O2 O 0.000 0.000 0.000
```

***

Here is an optimized crystal structure of SmDy6Ho3Er2 from the Alexandria database. Energies are from PBE.

Values from the calculation:
VASP energy	-54.98	eV per cell
V	374.99	Å³/f.u.
crystal system	monoclinic
DFT formation energy	0.2	eV/f.u.

The structure in CIF format:
```
data_SmDy6Ho3Er2
_chemical_formula_sum 'Sm1 Dy6 Ho3 Er2'
_space_group_name_H-M_alt 'P 1'
_space_group_IT_number 1
_cell_length_a 6.123
_cell_length_b 6.123
_cell_length_c 11.722
_cell_angle_alpha 94.97
_cell_angle_beta 94.97
_cell_angle_gamma 119.95
loop_
_space_group_symop_operation_xyz
'x,y,z'
loop_
_atom_site_label
_atom_site_type_symbol
_atom_site_fract_x
_atom_site_fract_y
_atom_site_fract_z
Dy1 Dy 0.250 0.250 0.749
Er1 Er 0.667 0.333 0.000
Ho1 Ho 0.833 0.167 0.500
Ho2 Ho 0.500 0.500 0.500
Ho3 Ho 0.167 0.833 0.500
Sm1 Sm 0.000 0.000 0.000
Er2 Er 0.333 0.667 0.000
Dy2 Dy 0.916 0.582 0.749
Dy3 Dy 0.750 0.750 0.251
Dy4 Dy 0.582 0.916 0.749
Dy5 Dy 0.418 0.084 0.251
Dy6 Dy 0.084 0.418 0.251
```

***

Here is an optimized crystal structure of Tc2NiW from the Alexandria database. Energies are from PBE.

Values from the calculation:
VASP energy	-38.90	eV per cell
V	56.90	Å³/f.u.
crystal system	orthorhombic
DFT formation energy	0.6	eV/f.u.

The structure in CIF format:
```
data_Tc2NiW
_chemical_formula_sum 'Tc2 Ni1 W1'
_space_group_name_H-M_alt 'P 1'
_space_group_IT_number 1
_cell_length_a 2.665
_cell_length_b 2.665
_cell_length_c 8.278
_cell_angle_alpha 90.00
_cell_angle_beta 90.00
_cell_angle_gamma 104.65
loop_
_space_group_symop_operation_xyz
'x,y,z'
loop_
_atom_site_label
_atom_site_type_symbol
_atom_site_fract_x
_atom_site_fract_y
_atom_site_fract_z
W1 W 0.500 0.500 0.250
Ni1 Ni 0.500 0.500 0.750
Tc1 Tc 0.000 0.000 0.515
Tc2 Tc 0.000 0.000 0.985
```

***

Here is an optimized crystal structure of IrPtS4 from the Alexandria database. Energies are from PBE.

Values from the calculation:
formation energy without anion corrections	-0.31	eV/atom
VASP energy	-33.27	eV per cell
V	110.72	Å³/f.u.
crystal system	monoclinic

The structure in CIF format:
```
data_IrPtS4
_chemical_formula_sum 'Ir1 Pt1 S4'
_space_group_name_H-M_alt 'P 1'
_space_group_IT_number 1
_cell_length_a 3.575
_cell_length_b 6.227
_cell_length_c 6.121
_cell_angle_alpha 120.29
_cell_angle_beta 106.98
_cell_angle_gamma 90.00
loop_
_space_group_symop_operation_xyz
'x,y,z'
loop_
_atom_site_label
_atom_site_type_symbol
_atom_site_fract_x
_atom_site_fract_y
_atom_site_fract_z
Ir1 Ir 0.000 0.000 0.000
S1 S 0.879 0.210 0.758
S2 S 0.621 0.283 0.242
S3 S 0.379 0.717 0.758
S4 S 0.121 0.790 0.242
Pt1 Pt 0.500 0.500 0.000
```

***

Here is an optimized crystal structure of CdF from the Alexandria database. Energies are from PBE.

Values from the calculation:
formation energy without anion corrections	-1.53	eV/atom
VASP energy	-46.77	eV per cell
V	34.09	Å³/f.u.
crystal system	orthorhombic

The structure in CIF format:
```
data_CdF
_chemical_formula_sum 'Cd8 F8'
_space_group_name_H-M_alt 'P 1'
_space_group_IT_number 1
_cell_length_a 5.383
_cell_length_b 5.986
_cell_length_c 8.464
_cell_angle_alpha 90.00
_cell_angle_beta 90.00
_cell_angle_gamma 90.00
loop_
_space_group_symop_operation_xyz
'x,y,z'
loop_
_atom_site_label
_atom_site_type_symbol
_atom_site_fract_x
_atom_site_fract_y
_atom_site_fract_z
F1 F 0.524 0.621 0.926
Cd1 Cd 0.292 0.942 0.846
F2 F 0.412 0.381 0.256
F3 F 0.476 0.121 0.574
Cd2 Cd 0.208 0.058 0.346
Cd3 Cd 0.708 0.442 0.654
F4 F 0.588 0.881 0.244
F5 F 0.976 0.379 0.426
Cd4 Cd 0.203 0.377 0.986
Cd5 Cd 0.792 0.558 0.154
F6 F 0.088 0.619 0.756
Cd6 Cd 0.703 0.123 0.014
Cd7 Cd 0.297 0.623 0.486
F7 F 0.912 0.119 0.744
Cd8 Cd 0.797 0.877 0.514
F8 F 0.024 0.879 0.074
```

***

Here is an optimized crystal structure of ReTc2P from the Alexandria database. Energies are from PBE.

Values from the calculation:
VASP energy	-37.79	eV per cell
V	56.28	Å³/f.u.
crystal system	cubic
DFT formation energy	0.8	eV/f.u.

The structure in CIF format:
```
data_ReTc2P
_chemical_formula_sum 'Re1 Tc2 P1'
_space_group_name_H-M_alt 'P 1'
_space_group_IT_number 1
_cell_length_a 4.302
_cell_length_b 4.302
_cell_length_c 4.302
_cell_angle_alpha 60.00
_cell_angle_beta 60.00
_cell_angle_gamma 60.00
loop_
_space_group_symop_operation_xyz
'x,y,z'
loop_
_atom_site_label
_atom_site_type_symbol
_atom_site_fract_x
_atom_site_fract_y
_atom_site_fract_z
Tc1 Tc 0.000 0.000 0.000
Tc2 Tc 0.750 0.750 0.750
Re1 Re 0.250 0.250 0.250
P1 P 0.500 0.500 0.500
```

***

Here is an optimized crystal structure of AsIrAuC2 from the Alexandria database. Energies are from PBE.

Values from the calculation:
VASP energy	-62.73	eV per cell
V	73.96	Å³/f.u.
crystal system	monoclinic
DFT formation energy	3.9	eV/f.u.

The structure in CIF format:
```
data_AsIrAuC2
_chemical_formula_sum 'As2 Ir2 Au2 C4'
_space_group_name_H-M_alt 'P 1'
_space_group_IT_number 1
_cell_length_a 6.461
_cell_length_b 2.917
_cell_length_c 8.451
_cell_angle_alpha 90.00
_cell_angle_beta 111.79
_cell_angle_gamma 90.00
loop_
_space_group_symop_operation_xyz
'x,y,z'
loop_
_atom_site_label
_atom_site_type_symbol
_atom_site_fract_x
_atom_site_fract_y
_atom_site_fract_z
C1 C 0.591 0.500 0.333
As1 As 0.265 0.500 0.139
C2 C 0.591 0.000 0.833
Ir1 Ir 0.529 0.000 0.479
Au1 Au 0.986 0.000 0.270
C3 C 0.722 0.000 0.729
C4 C 0.722 0.500 0.229
Au2 Au 0.986 0.500 0.770
As2 As 0.265 0.000 0.639
Ir2 Ir 0.529 0.500 0.979
```

***

Here is an optimized crystal structure of SmMgHgAu from the Alexandria database. Energies are from PBE.

Values from the calculation:
VASP energy	-12.34	eV per cell
V	91.15	Å³/f.u.
crystal system	cubic
DFT formation energy	-2.4	eV/f.u.

The structure in CIF format:
```
data_SmMgHgAu
_chemical_formula_sum 'Sm1 Mg1 Hg1 Au1'
_space_group_name_H-M_alt 'P 1'
_space_group_IT_number 1
_cell_length_a 5.052
_cell_length_b 5.052
_cell_length_c 5.052
_cell_angle_alpha 60.00
_cell_angle_beta 60.00
_cell_angle_gamma 60.00
loop_
_space_group_symop_operation_xyz
'x,y,z'
loop_
_atom_site_label
_atom_site_type_symbol
_atom_site_fract_x
_atom_site_fract_y
_atom_site_fract_z
Hg1 Hg 0.750 0.750 0.750
Mg1 Mg 0.000 0.000 0.000
Au1 Au 0.250 0.250 0.250
Sm1 Sm 0.500 0.500 0.500
```

***

Here is an optimized crystal structure of BaCuI from the Alexandria database. Energies are from PBE.

Values from the calculation:
formation energy without anion corrections	-0.37	eV/atom
VASP energy	-17.34	eV per cell
V	128.61	Å³/f.u.
crystal system	orthorhombic

The structure in CIF format:
```
data_BaCuI
_chemical_formula_sum 'Ba2 Cu2 I2'
_space_group_name_H-M_alt 'P 1'
_space_group_IT_number 1
_cell_length_a 4.658
_cell_length_b 4.660
_cell_length_c 13.681
_cell_angle_alpha 90.00
_cell_angle_beta 90.00
_cell_angle_gamma 119.99
loop_
_space_group_symop_operation_xyz
'x,y,z'
loop_
_atom_site_label
_atom_site_type_symbol
_atom_site_fract_x
_atom_site_fract_y
_atom_site_fract_z
Ba1 Ba 0.223 0.445 0.856
Cu1 Cu 0.555 0.109 0.500
Cu2 Cu 0.555 0.111 0.000
I1 I 0.556 0.111 0.679
I2 I 0.556 0.111 0.321
Ba2 Ba 0.223 0.445 0.144
```

***

Here is an optimized crystal structure of DyYIn2Se4 from the Alexandria database. Energies are from PBE.

Values from the calculation:
formation energy without anion corrections	-1.31	eV/atom
VASP energy	-40.93	eV per cell
V	230.94	Å³/f.u.
crystal system	monoclinic

The structure in CIF format:
```
data_DyYIn2Se4
_chemical_formula_sum 'Dy1 Y1 In2 Se4'
_space_group_name_H-M_alt 'P 1'
_space_group_IT_number 1
_cell_length_a 4.151
_cell_length_b 7.186
_cell_length_c 8.104
_cell_angle_alpha 107.19
_cell_angle_beta 90.00
_cell_angle_gamma 90.00
loop_
_space_group_symop_operation_xyz
'x,y,z'
loop_
_atom_site_label
_atom_site_type_symbol
_atom_site_fract_x
_atom_site_fract_y
_atom_site_fract_z
Dy1 Dy 0.500 0.500 0.000
Se1 Se 0.000 0.736 0.208
Y1 Y 0.000 0.000 0.000
Se2 Se 0.500 0.237 0.209
In1 In 0.000 0.500 0.500
In2 In 0.500 0.000 0.500
Se3 Se 0.500 0.763 0.791
Se4 Se 0.000 0.264 0.792
```